# 1
# Y3PaAg3Se8

A geometry-optimized Y3PaAg3Se8 structure (PBE, Alexandria).

Results
**Total energy**: -5.557 eV/atom
**Symmetry**: C2/m (12)
**ΔE_f (raw)**: -1.203 eV/atom

Cell and atoms, written as POSCAR:
```
Y3PaAg3Se8
1.0
6.876 -4.184 0.000
6.876 4.184 0.000
-4.358 0.000 6.793
Y Pa Ag Se
3 1 3 8
direct
0.000 0.000 0.000
0.000 0.500 0.500
0.500 0.000 0.500
0.500 0.500 0.000
0.000 0.500 0.000
0.500 0.000 0.000
0.500 0.500 0.500
0.248 0.748 0.753
0.250 0.250 0.252
0.252 0.252 0.747
0.252 0.752 0.247
0.748 0.248 0.753
0.748 0.748 0.253
0.750 0.750 0.748
0.752 0.252 0.247
```

=====

# 2
# PaSi4Ag

A geometry-optimized PaSi4Ag structure (PBE, Alexandria).

Results
**Total energy**: -5.702 eV/atom
**Symmetry**: F-43m (216)
**ΔE_f (raw)**: -0.029 eV/atom

Cell and atoms, written as POSCAR:
```
PaSi4Ag
1.0
0.000 3.702 3.702
3.702 0.000 3.702
3.702 3.702 0.000
Pa Si Ag
1 4 1
direct
0.000 0.000 0.000
0.129 0.624 0.624
0.624 0.129 0.624
0.624 0.624 0.129
0.624 0.624 0.624
0.250 0.250 0.250
```

=====

# 3
# PaSiAg

A geometry-optimized PaSiAg structure (PBE, Alexandria).

Results
**Total energy**: -6.142 eV/atom
**Symmetry**: Cmcm (63)
**ΔE_f (raw)**: -0.219 eV/atom

Cell and atoms, written as POSCAR:
```
PaSiAg
1.0
2.083 -8.052 0.000
2.083 8.052 0.000
0.000 0.000 3.701
Pa Si Ag
2 2 2
direct
0.094 0.906 0.750
0.906 0.094 0.250
0.454 0.546 0.750
0.546 0.454 0.250
0.287 0.713 0.750
0.713 0.287 0.250
```

=====

# 4
# PaSi2Ag2

A geometry-optimized PaSi2Ag2 structure (PBE, Alexandria).

Results
**Total energy**: -5.486 eV/atom
**Symmetry**: Imma (74)
**ΔE_f (raw)**: -0.277 eV/atom

Cell and atoms, written as POSCAR:
```
PaSi2Ag2
1.0
-2.023 2.024 11.255
2.023 -2.024 11.255
2.023 2.024 -11.255
Pa Si Ag
2 4 4
direct
0.324 0.074 0.250
0.676 0.926 0.750
0.123 0.373 0.750
0.225 0.475 0.750
0.775 0.525 0.250
0.877 0.627 0.250
0.049 0.799 0.250
0.452 0.702 0.750
0.548 0.298 0.250
0.951 0.201 0.750
```

=====

# 5
# PaSi2Ag

A geometry-optimized PaSi2Ag structure (PBE, Alexandria).

Results
**Total energy**: -5.194 eV/atom
**Symmetry**: R-3m (166)
**ΔE_f (raw)**: 0.604 eV/atom

Cell and atoms, written as POSCAR:
```
PaSi2Ag
1.0
2.350 1.357 6.203
-2.350 1.357 6.203
0.000 -2.714 6.203
Pa Si Ag
1 2 1
direct
0.000 0.000 0.000
0.370 0.370 0.370
0.630 0.630 0.630
0.500 0.500 0.500
```

=====

# 6
# PaSi2Ag

A geometry-optimized PaSi2Ag structure (PBE, Alexandria).

Results
**Total energy**: -5.973 eV/atom
**Symmetry**: P4/mmm (123)
**ΔE_f (raw)**: -0.175 eV/atom

Cell and atoms, written as POSCAR:
```
PaSi2Ag
1.0
4.376 0.000 0.000
0.000 4.376 0.000
0.000 0.000 3.981
Pa Si Ag
1 2 1
direct
0.000 0.000 0.000
0.000 0.500 0.500
0.500 0.000 0.500
0.500 0.500 0.000
```

=====

# 7
# PaSiAg

A geometry-optimized PaSiAg structure (PBE, Alexandria).

Results
**Total energy**: -5.777 eV/atom
**Symmetry**: F-43m (216)
**ΔE_f (raw)**: 0.146 eV/atom

Cell and atoms, written as POSCAR:
```
PaSiAg
1.0
0.000 3.269 3.269
3.269 0.000 3.269
3.269 3.269 0.000
Pa Si Ag
1 1 1
direct
0.000 0.000 0.000
0.250 0.250 0.250
0.500 0.500 0.500
```

=====

# 8
# SmPaSiAg

A geometry-optimized SmPaSiAg structure (PBE, Alexandria).

Results
**Total energy**: -5.699 eV/atom
**Symmetry**: F-43m (216)
**ΔE_f (raw)**: -0.076 eV/atom

Cell and atoms, written as POSCAR:
```
SmPaSiAg
1.0
0.000 3.602 3.602
3.602 0.000 3.602
3.602 3.602 0.000
Sm Pa Si Ag
1 1 1 1
direct
0.000 0.000 0.000
0.500 0.500 0.500
0.250 0.250 0.250
0.750 0.750 0.750
```

=====

What did the third record say?
# PaSiAg

A geometry-optimized PaSiAg structure (PBE, Alexandria).

Results
**Total energy**: -6.142 eV/atom
**Symmetry**: Cmcm (63)
**ΔE_f (raw)**: -0.219 eV/atom

Cell and atoms, written as POSCAR:
```
PaSiAg
1.0
2.083 -8.052 0.000
2.083 8.052 0.000
0.000 0.000 3.701
Pa Si Ag
2 2 2
direct
0.094 0.906 0.750
0.906 0.094 0.250
0.454 0.546 0.750
0.546 0.454 0.250
0.287 0.713 0.750
0.713 0.287 0.250
```

=====

Please write out number 4 again, unchanged.
# PaSi2Ag2

A geometry-optimized PaSi2Ag2 structure (PBE, Alexandria).

Results
**Total energy**: -5.486 eV/atom
**Symmetry**: Imma (74)
**ΔE_f (raw)**: -0.277 eV/atom

Cell and atoms, written as POSCAR:
```
PaSi2Ag2
1.0
-2.023 2.024 11.255
2.023 -2.024 11.255
2.023 2.024 -11.255
Pa Si Ag
2 4 4
direct
0.324 0.074 0.250
0.676 0.926 0.750
0.123 0.373 0.750
0.225 0.475 0.750
0.775 0.525 0.250
0.877 0.627 0.250
0.049 0.799 0.250
0.452 0.702 0.750
0.548 0.298 0.250
0.951 0.201 0.750
```

=====

Question: Which of these has the lowest total energy?
Answer: number 3

=====

Question: Number 4 is which compound?
Answer: PaSi2Ag2